[1]
K2TlGa | the Alexandria database | PBE-GGA | relaxed; symmetry = Fm-3m; mass density = 4.0 g cm⁻³; energy = -28.3 eV/cell; energy relative to the elements = 3.023 kcal/mol of atoms
1.0
8.360 0.000 0.000
0.000 8.360 0.000
0.000 0.000 8.360
K Tl Ga
8 4 4
Cartesian
2.090 2.090 2.090
2.090 2.090 6.270
2.090 6.270 2.090
2.090 6.270 6.270
6.270 2.090 2.090
6.270 2.090 6.270
6.270 6.270 2.090
6.270 6.270 6.270
0.000 0.000 0.000
0.000 4.180 4.180
4.180 0.000 4.180
4.180 4.180 0.000
0.000 0.000 4.180
0.000 4.180 0.000
4.180 0.000 0.000
4.180 4.180 4.180

[2]
KTmGa4 | the Alexandria database | PBE-GGA | relaxed; symmetry = F-43m; mass density = 6.4 g cm⁻³; energy = -18.8 eV/cell; energy relative to the elements = -4.353 kcal/mol of atoms
1.0
0.000 3.989 3.989
3.989 0.000 3.989
3.989 3.989 0.000
K Tm Ga
1 1 4
Cartesian
0.000 0.000 0.000
1.994 1.994 1.994
4.982 2.995 2.995
2.995 4.982 2.995
2.995 2.995 4.982
4.982 4.982 4.982